GdMgAuO3 | PBE | optimized geometry

Structure (CIF):
```
data_GdMgAuO3
_cell_length_a 3.4551
_cell_length_b 5.6544
_cell_length_c 11.2170
_cell_angle_alpha 104.25
_cell_angle_beta 90.98
_cell_angle_gamma 100.46
_space_group_name_H-M_alt 'P 1'
_space_group_IT_number 1
loop_
_space_group_symop_operation_xyz
'x,y,z'
loop_
_atom_site_label
_atom_site_type_symbol
_atom_site_fract_x
_atom_site_fract_y
_atom_site_fract_z
Au1 Au 0.0666 0.9158 0.2920
Au2 Au 0.6148 0.7671 0.4515
Gd1 Gd 0.8298 0.9893 0.0204
Gd2 Gd 0.1911 0.9271 0.6955
Mg1 Mg 0.4738 0.4100 0.1857
Mg2 Mg 0.7310 0.3635 0.5189
O1 O 0.9606 0.3839 0.0924
O2 O 0.3458 0.9925 0.1337
O3 O 0.5920 0.4110 0.3543
O4 O 0.2747 0.5591 0.5898
O5 O 0.7067 0.0912 0.5958
O6 O 0.6898 0.9446 0.8255
```

Output
The total energy is -6.080 eV per atom. For the volume, the calculation gives 208.4 Å³ per cell. As for the total moment: 0.0 μB per formula unit. The space-group type is P1.

---

Hf2TcIr | PBE | optimized geometry

Structure (CIF):
```
data_Hf2TcIr
_cell_length_a 4.6052
_cell_length_b 6.5152
_cell_length_c 13.8184
_cell_angle_alpha 90.00
_cell_angle_beta 90.00
_cell_angle_gamma 90.00
_space_group_name_H-M_alt 'P 1'
_space_group_IT_number 1
loop_
_space_group_symop_operation_xyz
'x,y,z'
loop_
_atom_site_label
_atom_site_type_symbol
_atom_site_fract_x
_atom_site_fract_y
_atom_site_fract_z
Hf1 Hf 0.5000 0.2500 0.0000
Hf2 Hf 0.5000 0.7500 0.0000
Hf3 Hf 0.0000 0.2500 0.1667
Hf4 Hf 0.0000 0.7500 0.1667
Hf5 Hf 0.5000 0.2500 0.3333
Hf6 Hf 0.5000 0.7500 0.3333
Hf7 Hf 0.0000 0.2500 0.5000
Hf8 Hf 0.0000 0.7500 0.5000
Hf9 Hf 0.5000 0.2500 0.6667
Hf10 Hf 0.5000 0.7500 0.6667
Hf11 Hf 0.0000 0.2500 0.8333
Hf12 Hf 0.0000 0.7500 0.8333
Ir1 Ir 0.0000 0.5000 0.0000
Ir2 Ir 0.5000 0.0000 0.1667
Ir3 Ir 0.0000 0.5000 0.3333
Ir4 Ir 0.5000 0.0000 0.5000
Ir5 Ir 0.0000 0.5000 0.6667
Ir6 Ir 0.5000 0.0000 0.8333
Tc1 Tc 0.0000 0.0000 0.0000
Tc2 Tc 0.4999 0.5000 0.1666
Tc3 Tc 0.0000 0.0000 0.3334
Tc4 Tc 0.5000 0.5000 0.5000
Tc5 Tc 0.0000 0.0000 0.6666
Tc6 Tc 0.5001 0.5000 0.8334
```

Output
Its formation enthalpy at 0 K is -3.42 eV per formula unit. The total energy is -10.638 eV per atom. For the volume, the calculation gives 414.6 Å³ per cell. As for the total moment: 0.0 μB per formula unit. The space-group type is Fm-3m.

---

MgNbAl | PBE | optimized geometry

Structure (CIF):
```
data_MgNbAl
_cell_length_a 4.4465
_cell_length_b 4.4465
_cell_length_c 4.4465
_cell_angle_alpha 60.00
_cell_angle_beta 60.00
_cell_angle_gamma 60.00
_space_group_name_H-M_alt 'P 1'
_space_group_IT_number 1
loop_
_space_group_symop_operation_xyz
'x,y,z'
loop_
_atom_site_label
_atom_site_type_symbol
_atom_site_fract_x
_atom_site_fract_y
_atom_site_fract_z
Al1 Al 0.0000 0.0000 0.0000
Mg1 Mg 0.2500 0.2500 0.2500
Nb1 Nb 0.7500 0.7500 0.7500
```

Output
The total energy is -4.631 eV per atom. For the volume, the calculation gives 62.2 Å³ per cell. The value obtained for the relative energy among the computed polymorphs is 0 meV per atom. As for the total moment: 0.0 μB per formula unit. The space-group type is F-43m.

---

HoCdHgAu | PBE | optimized geometry

Structure (CIF):
```
data_HoCdHgAu
_cell_length_a 4.9862
_cell_length_b 4.9862
_cell_length_c 4.9862
_cell_angle_alpha 60.00
_cell_angle_beta 60.00
_cell_angle_gamma 60.00
_space_group_name_H-M_alt 'P 1'
_space_group_IT_number 1
loop_
_space_group_symop_operation_xyz
'x,y,z'
loop_
_atom_site_label
_atom_site_type_symbol
_atom_site_fract_x
_atom_site_fract_y
_atom_site_fract_z
Au1 Au 0.5000 0.5000 0.5000
Cd1 Cd 0.7500 0.7500 0.7500
Hg1 Hg 0.0000 0.0000 0.0000
Ho1 Ho 0.2500 0.2500 0.2500
```

Output
Its formation enthalpy at 0 K is -2.09 eV per formula unit. The total energy is -2.783 eV per atom. For the volume, the calculation gives 87.7 Å³ per cell. As for the total moment: 0.0 μB per formula unit. The space-group type is F-43m.

---

LuZn2Cu | PBE | optimized geometry

Structure (CIF):
```
data_LuZn2Cu
_cell_length_a 4.5365
_cell_length_b 4.5365
_cell_length_c 4.5365
_cell_angle_alpha 60.00
_cell_angle_beta 60.00
_cell_angle_gamma 60.00
_space_group_name_H-M_alt 'P 1'
_space_group_IT_number 1
loop_
_space_group_symop_operation_xyz
'x,y,z'
loop_
_atom_site_label
_atom_site_type_symbol
_atom_site_fract_x
_atom_site_fract_y
_atom_site_fract_z
Cu1 Cu 0.7500 0.7500 0.7500
Lu1 Lu 0.5000 0.5000 0.5000
Zn1 Zn 0.0000 0.0000 0.0000
Zn2 Zn 0.2500 0.2500 0.2500
```

Output
Its formation enthalpy at 0 K is -1.03 eV per formula unit. The total energy is -2.950 eV per atom. For the volume, the calculation gives 66.0 Å³ per cell. As for the total moment: 0.0 μB per formula unit. The space-group type is F-43m.

---

GdTmSnC | PBE | optimized geometry

Structure (CIF):
```
data_GdTmSnC
_cell_length_a 3.6125
_cell_length_b 3.6125
_cell_length_c 15.8552
_cell_angle_alpha 90.00
_cell_angle_beta 90.00
_cell_angle_gamma 120.00
_space_group_name_H-M_alt 'P 1'
_space_group_IT_number 1
loop_
_space_group_symop_operation_xyz
'x,y,z'
loop_
_atom_site_label
_atom_site_type_symbol
_atom_site_fract_x
_atom_site_fract_y
_atom_site_fract_z
C1 C 0.0000 0.0000 0.2547
C2 C 0.0000 0.0000 0.7453
Gd1 Gd 0.3333 0.6667 0.1677
Gd2 Gd 0.3333 0.6667 0.8323
Sn1 Sn 0.6667 0.3333 0.0000
Sn2 Sn 0.3333 0.6667 0.5000
Tm1 Tm 0.6667 0.3333 0.3365
Tm2 Tm 0.6667 0.3333 0.6635
```

Output
The total energy is -6.123 eV per atom. For the volume, the calculation gives 179.2 Å³ per cell. The value obtained for the relative energy among the computed polymorphs is 2 meV per atom. As for the total moment: 0.0 μB per formula unit. The space-group type is P-6m2.

---

CsOsPb | PBE | optimized geometry

Structure (CIF):
```
data_CsOsPb
_cell_length_a 5.0093
_cell_length_b 5.0093
_cell_length_c 5.0093
_cell_angle_alpha 60.00
_cell_angle_beta 60.00
_cell_angle_gamma 60.00
_space_group_name_H-M_alt 'P 1'
_space_group_IT_number 1
loop_
_space_group_symop_operation_xyz
'x,y,z'
loop_
_atom_site_label
_atom_site_type_symbol
_atom_site_fract_x
_atom_site_fract_y
_atom_site_fract_z
Cs1 Cs 0.2500 0.2500 0.2500
Os1 Os 0.0000 0.0000 0.0000
Pb1 Pb 0.7500 0.7500 0.7500
```

Output
The total energy is -3.845 eV per atom. For the volume, the calculation gives 88.9 Å³ per cell. The value obtained for the relative energy among the computed polymorphs is 0 meV per atom. As for the total moment: 0.8 μB per formula unit. The space-group type is F-43m.

---

Hf2InC | PBE | optimized geometry

Structure (CIF):
```
data_Hf2InC
_cell_length_a 5.7570
_cell_length_b 5.7570
_cell_length_c 15.2377
_cell_angle_alpha 100.89
_cell_angle_beta 100.89
_cell_angle_gamma 60.01
_space_group_name_H-M_alt 'P 1'
_space_group_IT_number 1
loop_
_space_group_symop_operation_xyz
'x,y,z'
loop_
_atom_site_label
_atom_site_type_symbol
_atom_site_fract_x
_atom_site_fract_y
_atom_site_fract_z
C1 C 0.5000 0.0000 0.0000
C2 C 0.8333 0.3333 0.0000
C3 C 0.1667 0.6667 0.0000
C4 C 0.3333 0.8333 0.5000
C5 C 0.0000 0.5000 0.5000
C6 C 0.6667 0.1667 0.5000
Hf1 Hf 0.8606 0.6940 0.0819
Hf2 Hf 0.5272 0.3608 0.0819
Hf3 Hf 0.1940 0.0274 0.0819
Hf4 Hf 0.9726 0.8060 0.4181
Hf5 Hf 0.6392 0.4728 0.4181
Hf6 Hf 0.3060 0.1394 0.4181
Hf7 Hf 0.6940 0.8606 0.5819
Hf8 Hf 0.3608 0.5272 0.5819
Hf9 Hf 0.0274 0.1940 0.5819
Hf10 Hf 0.8060 0.9726 0.9181
Hf11 Hf 0.4728 0.6392 0.9181
Hf12 Hf 0.1394 0.3060 0.9181
In1 In 0.5826 0.7506 0.2500
In2 In 0.9159 0.0841 0.2500
In3 In 0.2494 0.4174 0.2500
In4 In 0.7506 0.5826 0.7500
In5 In 0.0841 0.9159 0.7500
In6 In 0.4174 0.2494 0.7500
```

Output
The total energy is -8.682 eV per atom. For the volume, the calculation gives 426.9 Å³ per cell. As for the total moment: 0.0 μB per formula unit. The space-group type is P6_3/mmc.